Entry 1:
{
  "formula": "AcPrSe2O",
  "functional": "PBE-GGA",
  "state": "optimized geometry",
  "lattice_angstrom": [[4.249, 0.000, 0.000], [0.000, 4.249, 0.000], [0.000, 0.000, 15.154]],
  "species": ["Ac", "Ac", "Pr", "Pr", "Se", "Se", "Se", "Se", "O", "O"],
  "fractional_positions": [[0.250, 0.250, 0.085], [0.750, 0.750, 0.915], [0.250, 0.250, 0.624], [0.750, 0.750, 0.376], [0.250, 0.250, 0.409], [0.250, 0.250, 0.804], [0.750, 0.750, 0.196], [0.750, 0.750, 0.591], [0.250, 0.750, 0.000], [0.750, 0.250, 0.000]],
  "final_energy_ev_per_atom": -6.60,
  "formation_energy_uncorrected_ev_per_atom": -2.43,
  "spacegroup": "No. 129"
}

Entry 2:
{
  "formula": "AcPrSeO2",
  "functional": "PBE-GGA",
  "state": "optimized geometry",
  "lattice_angstrom": [[-2.040, 2.040, 6.517], [2.040, -2.040, 6.517], [2.040, 2.040, -6.517]],
  "species": ["Ac", "Pr", "Se", "O", "O"],
  "fractional_positions": [[0.000, 0.000, 0.000], [0.695, 0.695, 0.000], [0.346, 0.346, 0.000], [0.103, 0.603, 0.500], [0.603, 0.103, 0.500]],
  "final_energy_ev_per_atom": -7.44,
  "formation_energy_uncorrected_ev_per_atom": -2.99,
  "spacegroup": "No. 107"
}

Entry 3:
{
  "formula": "Ac2PrSe2O2",
  "functional": "PBE-GGA",
  "state": "optimized geometry",
  "lattice_angstrom": [[-2.292, 2.292, 8.160], [2.292, -2.292, 8.160], [2.292, 2.292, -8.160]],
  "species": ["Ac", "Ac", "Pr", "Se", "Se", "O", "O"],
  "fractional_positions": [[0.130, 0.130, 0.000], [0.870, 0.870, 0.000], [0.500, 0.500, 0.000], [0.320, 0.320, 0.000], [0.680, 0.680, 0.000], [0.000, 0.500, 0.500], [0.500, 0.000, 0.500]],
  "final_energy_ev_per_atom": -6.59,
  "formation_energy_uncorrected_ev_per_atom": -2.32,
  "spacegroup": "No. 139"
}

Entry 4:
{
  "formula": "Ac2PrSmO6",
  "functional": "PBE-GGA",
  "state": "optimized geometry",
  "lattice_angstrom": [[6.159, 0.000, 0.000], [0.000, 6.368, 0.000], [-6.141, 0.000, 8.968]],
  "species": ["Ac", "Ac", "Ac", "Ac", "Pr", "Pr", "Sm", "Sm", "O", "O", "O", "O", "O", "O", "O", "O", "O", "O", "O", "O"],
  "fractional_positions": [[0.234, 0.048, 0.251], [0.234, 0.452, 0.751], [0.766, 0.548, 0.249], [0.766, 0.952, 0.749], [0.500, 0.000, 0.000], [0.500, 0.500, 0.500], [0.000, 0.000, 0.500], [0.000, 0.500, 0.000], [0.115, 0.198, 0.925], [0.115, 0.302, 0.425], [0.232, 0.692, 0.928], [0.232, 0.808, 0.428], [0.381, 0.067, 0.746], [0.381, 0.433, 0.246], [0.619, 0.567, 0.754], [0.619, 0.933, 0.254], [0.768, 0.192, 0.572], [0.768, 0.308, 0.072], [0.885, 0.698, 0.575], [0.885, 0.802, 0.075]],
  "final_energy_ev_per_atom": -8.05,
  "formation_energy_uncorrected_ev_per_atom": -3.30,
  "spacegroup": "No. 14"
}

Entry 5:
{
  "formula": "Ac4Pr2Sn3O2",
  "functional": "PBE-GGA",
  "state": "optimized geometry",
  "lattice_angstrom": [[-2.541, 2.541, 13.390], [2.541, -2.541, 13.390], [2.541, 2.541, -13.390]],
  "species": ["Ac", "Ac", "Ac", "Ac", "Pr", "Pr", "Sn", "Sn", "Sn", "O", "O"],
  "fractional_positions": [[0.084, 0.584, 0.500], [0.416, 0.916, 0.500], [0.584, 0.084, 0.500], [0.916, 0.416, 0.500], [0.198, 0.198, 0.000], [0.802, 0.802, 0.000], [0.320, 0.320, 0.000], [0.500, 0.500, 0.000], [0.680, 0.680, 0.000], [0.106, 0.106, 0.000], [0.894, 0.894, 0.000]],
  "final_energy_ev_per_atom": -5.70,
  "formation_energy_uncorrected_ev_per_atom": -1.35,
  "spacegroup": "No. 139"
}

Entry 6:
{
  "formula": "AcPrTa2O8",
  "functional": "PBE-GGA",
  "state": "optimized geometry",
  "lattice_angstrom": [[-2.740, 2.740, 5.929], [2.740, -2.740, 5.929], [2.740, 2.740, -5.929]],
  "species": ["Ac", "Pr", "Ta", "Ta", "O", "O", "O", "O", "O", "O", "O", "O"],
  "fractional_positions": [[0.000, 0.000, 0.000], [0.250, 0.750, 0.500], [0.500, 0.500, 0.000], [0.750, 0.250, 0.500], [0.263, 0.659, 0.096], [0.341, 0.437, 0.604], [0.424, 0.003, 0.093], [0.563, 0.167, 0.904], [0.669, 0.576, 0.579], [0.833, 0.737, 0.396], [0.910, 0.331, 0.907], [0.997, 0.090, 0.421]],
  "final_energy_ev_per_atom": -9.23,
  "formation_energy_uncorrected_ev_per_atom": -3.21,
  "spacegroup": "No. 82"
}

Entry 7:
{
  "formula": "AcPrTc2O8",
  "functional": "PBE-GGA",
  "state": "optimized geometry",
  "lattice_angstrom": [[-2.714, 2.714, 6.000], [2.714, -2.714, 6.000], [2.714, 2.714, -6.000]],
  "species": ["Ac", "Pr", "Tc", "Tc", "O", "O", "O", "O", "O", "O", "O", "O"],
  "fractional_positions": [[0.000, 0.000, 0.000], [0.250, 0.750, 0.500], [0.500, 0.500, 0.000], [0.750, 0.250, 0.500], [0.274, 0.667, 0.108], [0.333, 0.441, 0.607], [0.423, 0.013, 0.096], [0.559, 0.166, 0.892], [0.673, 0.577, 0.590], [0.834, 0.726, 0.393], [0.917, 0.327, 0.904], [0.987, 0.083, 0.410]],
  "final_energy_ev_per_atom": -7.99,
  "formation_energy_uncorrected_ev_per_atom": -2.21,
  "spacegroup": "No. 82"
}

Entry 8:
{
  "formula": "AcPr2TcO8",
  "functional": "PBE-GGA",
  "state": "optimized geometry",
  "lattice_angstrom": [[5.273, 0.000, 0.000], [0.000, 7.177, 0.000], [-0.080, 0.000, 5.277]],
  "species": ["Ac", "Pr", "Pr", "Tc", "O", "O", "O", "O", "O", "O", "O", "O"],
  "fractional_positions": [[0.000, 0.000, 0.000], [0.500, 0.254, 0.500], [0.500, 0.746, 0.500], [0.000, 0.500, 0.000], [0.178, 0.305, 0.179], [0.178, 0.695, 0.179], [0.252, 0.500, 0.749], [0.318, 0.000, 0.684], [0.682, 0.000, 0.316], [0.748, 0.500, 0.251], [0.822, 0.305, 0.821], [0.822, 0.695, 0.821]],
  "final_energy_ev_per_atom": -7.82,
  "formation_energy_uncorrected_ev_per_atom": -2.51,
  "spacegroup": "No. 10"
}